Density functional theory data (GGA+U) for crystalline NpFeO4 at its relaxed geometry.

The structure in POSCAR format:
```
NpFeO4
1.0
5.022 0.000 0.000
0.000 6.093 0.010
0.000 -2.418 5.237
Np Fe O
2 2 8
Cartesian
2.511 3.047 0.005 Np
0.000 0.000 0.000 Np
0.000 1.838 2.623 Fe
2.511 -1.209 2.618 Fe
1.487 4.735 0.812 O
1.024 1.688 0.808 O
3.471 3.035 1.711 O
0.959 3.687 3.540 O
4.063 -0.012 1.706 O
1.552 0.640 3.535 O
3.999 1.987 4.439 O
3.535 -1.060 4.434 O
```

Results
E = -8.740 eV per atom
calculated volume = 160 Å³ per cell